Entry 1:
{"formula": "Sm6ZnCo2", "functional": "GGA-PBE", "state": "relaxed", "energy_ev_per_fu": -44.223, "dos_ef_per_ev_cell": 10.44, "e_form_mev_per_atom": -47, "sg": "No. 12", "relative_energy_ev_per_fu": 0.937, "total_magnetization_mub_per_fu": 0.0, "cell": [[-1.344, 0.389, 4.955], [2.930, -4.535, -1.524], [8.199, 2.846, 2.001]], "species": ["Sm", "Sm", "Sm", "Sm", "Sm", "Sm", "Co", "Co", "Zn"], "fractional_positions": [[0.288, 0.576, 0.838], [0.657, 0.314, 0.612], [0.038, 0.076, 0.160], [0.343, 0.686, 0.388], [0.962, 0.924, 0.840], [0.712, 0.424, 0.162], [0.609, 0.218, 0.909], [0.391, 0.782, 0.091], [0.000, 0.000, 0.500]]}



Entry 2:
{"formula": "SmZn7Co5", "functional": "GGA-PBE", "state": "relaxed", "energy_ev_per_fu": -50.966, "dos_ef_per_ev_cell": 9.90, "e_form_mev_per_atom": -138, "sg": "No. 44", "total_magnetization_mub_per_fu": 5.3, "cell": [[4.573, 0.000, 1.878], [2.284, 6.099, 0.946], [-0.030, 0.027, 6.581]], "species": ["Co", "Co", "Co", "Co", "Co", "Zn", "Zn", "Zn", "Zn", "Zn", "Zn", "Zn", "Sm"], "fractional_positions": [[0.493, 0.509, 0.999], [0.999, 0.509, 0.999], [0.732, 0.768, 0.768], [0.999, 0.999, 0.509], [0.493, 0.999, 0.509], [0.666, 0.334, 0.334], [0.993, 0.660, 0.354], [0.272, 0.228, 0.228], [0.993, 0.354, 0.660], [0.499, 0.783, 0.218], [0.499, 0.218, 0.783], [0.349, 0.651, 0.651], [0.013, 0.987, 0.987]]}



Entry 3:
{"formula": "Sm6Zn5Co", "functional": "GGA-PBE", "state": "relaxed", "energy_ev_per_fu": -45.100, "dos_ef_per_ev_cell": 9.42, "e_form_mev_per_atom": -276, "sg": "No. 71", "total_magnetization_mub_per_fu": 0.0, "cell": [[4.895, 0.021, -1.429], [-0.991, 6.343, -3.303], [-0.092, 0.455, 8.791]], "species": ["Sm", "Sm", "Sm", "Sm", "Sm", "Sm", "Co", "Zn", "Zn", "Zn", "Zn", "Zn"], "fractional_positions": [[0.841, 0.082, 0.681], [0.159, 0.918, 0.319], [0.841, 0.599, 0.681], [0.500, 0.236, 0.000], [0.159, 0.401, 0.319], [0.500, 0.764, 0.000], [0.000, 0.000, 0.000], [0.000, 0.500, 0.000], [0.331, 0.331, 0.663], [0.322, 0.822, 0.643], [0.669, 0.669, 0.337], [0.678, 0.178, 0.357]]}



Entry 4:
{"formula": "Sm4Zn5Co2", "functional": "GGA-PBE", "state": "relaxed", "energy_ev_per_fu": -41.952, "dos_ef_per_ev_cell": 9.44, "e_form_mev_per_atom": -227, "sg": "No. 10", "total_magnetization_mub_per_fu": 0.4, "cell": [[-0.189, 3.470, 1.648], [-3.650, 2.373, -5.416], [-7.052, -2.559, 4.584]], "species": ["Zn", "Zn", "Zn", "Zn", "Zn", "Sm", "Sm", "Sm", "Sm", "Co", "Co"], "fractional_positions": [[0.000, 0.500, 0.000], [0.000, 0.435, 0.690], [0.000, 0.190, 0.154], [0.000, 0.810, 0.846], [0.000, 0.565, 0.310], [0.500, 0.827, 0.147], [0.500, 0.173, 0.853], [0.500, 0.245, 0.434], [0.500, 0.755, 0.566], [0.000, 0.941, 0.370], [0.000, 0.059, 0.630]]}